Compound: Tl3WF8
Source: the Alexandria database
Functional: PBE with a Hubbard U
Structure: optimized geometry

abc: 7.060 7.060 7.060
angles: 124.83 124.83 81.82
Sites, in units of the cell vectors:
Tl 0.000 0.000 0.000
Tl 0.250 0.750 0.500
Tl 0.750 0.250 0.500
W 0.500 0.500 0.000
F 0.214 0.479 0.000
F 0.226 0.226 0.577
F 0.351 0.774 0.000
F 0.479 0.214 0.000
F 0.521 0.521 0.735
F 0.649 0.649 0.423
F 0.774 0.351 0.000
F 0.786 0.786 0.265

Computed properties:
* symmetry: No. 121
* crystal system: tetragonal
* E: -4.728 eV/atom